Entry from Alexandria via LeMat-Bulk: TiNb2Mo after structural relaxation (PBE).

Results
total DFT energy (no corrections) = -9.770 eV per atom
DFT formation energy = -0.054 eV/atom
crystal system = tetragonal
DOS at the Fermi energy = 5.2 states/eV per cell

Lattice parameters (Å, degrees): 3.227 3.227 6.626 90.00 90.00 90.00
Fractional positions:
Mo  0.500  0.500  0.000
Nb  0.000  0.000  0.761
Ti  0.500  0.500  0.500
Nb  0.000  0.000  0.239